No. 1
# SiGeTe3

An optimized crystal structure of SiGeTe3 (PBE-GGA, Alexandria via LeMat-Bulk).

Values from the calculation:
As for the uncorrected formation energy: 282 meV/atom. Its space group is Ima2 (46).

Cell: 7.191 7.191 7.191 Å, 101.46 117.79 109.58°
Element x y z (fractional)
Si (0.249, 0.250, 0.499)
Si (0.751, 0.750, 0.501)
Ge (0.706, 0.468, 0.739)
Ge (0.729, 0.968, 0.261)
Te (0.214, 0.468, 0.247)
Te (0.221, 0.968, 0.753)
Te (0.319, 0.594, 0.835)
Te (0.319, 0.984, 0.225)
Te (0.759, 0.094, 0.775)
Te (0.759, 0.484, 0.165)

No. 2
# Ho2Ni2Hg

An optimized crystal structure of Ho2Ni2Hg (PBE-GGA, Alexandria via LeMat-Bulk).

Values from the calculation:
Its space group is Cmmm (65). As for the formation energy: -0.5133 eV/atom.

Cell: 3.890 13.969 3.688 Å, 90.00 90.00 90.00°
Element x y z (fractional)
Ho (0.000, 0.137, 0.000)
Ho (0.000, 0.863, 0.000)
Ho (0.500, 0.363, 0.000)
Ho (0.500, 0.637, 0.000)
Ni (0.000, 0.301, 0.500)
Ni (0.000, 0.699, 0.500)
Ni (0.500, 0.199, 0.500)
Ni (0.500, 0.801, 0.500)
Hg (0.000, 0.500, 0.500)
Hg (0.500, 0.000, 0.500)